This record from the Alexandria database describes a relaxed structure of HfAsO2. The functional is PBE.

Output
Uncorrected formation energy = -2.131 eV per atom

abc: 3.1382 3.1382 25.3012
angles: 90.00 90.00 120.00
Space group R-3m (No. 166, hexagonal axes)
One atom of each set of equivalent atoms:
1 Hf 0.0000 0.0000 0.0000
2 As 0.0000 0.0000 0.5000
3 O 0.0000 0.0000 0.3732